No. 1
This record from the Alexandria database describes a relaxed SbIr2Ru crystal. The functional is PBE.

- Space group: No. 8

a = 4.7312 Å, b = 4.7312 Å, c = 4.9779 Å
α = 78.45°, β = 78.45°, γ = 35.98°
Closest atoms and distances in Å follow each position.
Positions (direct):
1 Ir 0.9983 0.9983 0.9820  2 Ru 2.71, 5 Ir 2.73-2.92, 3 Sb 2.78-2.86
2 Ir 0.7519 0.7519 0.7439  3 Ru 2.71, 5 Ir 2.73-2.92, 4 Sb 2.86-2.92
3 Sb 0.2488 0.2488 0.2521  3 Ru 2.77-2.87, 7 Ir 2.78-2.92, 2 Sb 2.92
4 Ru 0.5011 0.5011 0.5220  5 Ir 2.71, 3 Sb 2.77-2.87, 2 Ru 2.92

***

No. 2
This record from the Alexandria database describes a relaxed SbIr2Ru crystal. The functional is PBE.

- Space group: No. 47

a = 2.8825 Å, b = 4.6797 Å, c = 4.7507 Å
α = 90.00°, β = 90.00°, γ = 90.00°
Closest atoms and distances in Å follow each position.
Positions (direct):
1 Sb 0.0000 0.5000 0.5000  4 Ru 2.75, 4 Ir 2.78, 2 Sb 2.88
2 Ir 0.0000 0.0000 0.0000  6 Ir 2.75-2.88, 4 Ru 2.78
3 Ir 0.5000 0.5000 0.0000  6 Ir 2.75-2.88, 4 Sb 2.78
4 Ru 0.5000 0.0000 0.5000  4 Sb 2.75, 4 Ir 2.78, 2 Ru 2.88

***

No. 3
This record from the Alexandria database describes a relaxed SbIr2Ru crystal. The functional is PBE.

- Space group: No. 99

a = 2.9330 Å, b = 2.9330 Å, c = 7.4807 Å
α = 90.00°, β = 90.00°, γ = 90.00°
Closest atoms and distances in Å follow each position.
Positions (direct):
1 Ru 0.0000 0.0000 0.4867  4 Ir 2.69, 4 Sb 2.85, 4 Ru 2.93
2 Ir 0.5000 0.5000 0.2571  4 Ru 2.69, 8 Ir 2.78-2.93
3 Sb 0.5000 0.5000 0.7471  4 Ru 2.85, 4 Ir 2.85, 4 Sb 2.93
4 Ir 0.0000 0.0000 0.0091  8 Ir 2.78-2.93, 4 Sb 2.85

***

Number 1: ΔE_f (raw) 0.195 eV/atom. Number 2: ΔE_f (raw) 0.307 eV/atom. Number 3: ΔE_f (raw) 0.320 eV/atom.